1.
Entry from Alexandria: Tm7Pd2Au2 after structural relaxation (PBE).

For the energy above the most stable polymorph in this dataset, the calculation gives 0.0 meV per atom. The calculation puts the density of states at the Fermi level at 27.6 states/eV/cell. For the total magnetic moment, the calculation gives 0.00 μB per formula unit. As for the total energy: -111.134 eV per cell. The formation energy comes out at -0.6660 eV per atom.

The structure belongs to space group Imm2 (No. 44); the cell edges are 3.7541, 15.5650 and 9.4676 Å and the angles 90.00°, 90.00° and 90.00°. The distinct sites, in fractional coordinates, are Tm at (0.0000, 0.0000, 0.0000), Tm at (0.0000, 0.1154, 0.5917), Tm at (0.0000, 0.3126, 0.3862), Tm at (0.0000, 0.3670, 0.7497), Pd at (0.0000, 0.2421, 0.0885), Au at (0.0000, 0.0000, 0.3403) and Au at (0.0000, 0.5000, 0.2577).

***

2.
Entry from Alexandria: V2CrH3 after structural relaxation (PBE).

The calculation puts the density of states at the Fermi level at 9.4 states/eV/cell. For the total magnetic moment, the calculation gives 0.37 μB per formula unit. As for the total energy: -77.192 eV per cell.

The structure belongs to space group C2/m (No. 12); the cell edges are 8.7571, 3.7892 and 2.7878 Å and the angles 90.00°, 107.67° and 90.00°. The distinct sites, in fractional coordinates, are V at (0.1649, 0.0000, 0.1665), Cr at (0.0000, 0.5000, 0.5000), H at (0.0000, 0.0000, 0.5000) and H at (0.1620, 0.5000, 0.1620).

***

3.
Entry from Alexandria: Li3Cd4Pd4 after structural relaxation (PBE).

The calculation puts the density of states at the Fermi level at 3.8 states/eV/cell. For the total magnetic moment, the calculation gives 0.00 μB per formula unit. As for the total energy: -34.349 eV per cell. The formation energy comes out at -0.3796 eV per atom.

The structure belongs to space group P-1 (No. 2); the cell edges are 2.9114, 4.3659 and 14.5541 Å and the angles 98.50°, 90.67° and 90.00°. The distinct sites, in fractional coordinates, are Li at (0.0000, 0.0000, 0.0000), Li at (0.2129, 0.6304, 0.2633), Cd at (0.2502, 0.2823, 0.5622), Cd at (0.2667, 0.9103, 0.8182), Pd at (0.2496, 0.1784, 0.3594) and Pd at (0.2787, 0.5425, 0.0860).

***

4.
Entry from Alexandria: CeGa5 after structural relaxation (PBE).

For the energy above the most stable polymorph in this dataset, the calculation gives 0.0 meV per atom. The calculation puts the density of states at the Fermi level at 8.8 states/eV/cell. For the total magnetic moment, the calculation gives 0.20 μB per formula unit. As for the total energy: -46.176 eV per cell. The formation energy comes out at -0.3366 eV per atom.

The structure belongs to space group Immm (No. 71); the cell edges are 4.4440, 6.1876 and 8.6018 Å and the angles 90.00°, 90.00° and 90.00°. The distinct sites, in fractional coordinates, are Ce at (0.0000, 0.0000, 0.0000), Ga at (0.0000, 0.2319, 0.3346) and Ga at (0.0000, 0.5000, 0.0000).

***

5.
Entry from Alexandria: Tl2HgAu3 after structural relaxation (PBE).

The calculation puts the density of states at the Fermi level at 4.2 states/eV/cell. For the total magnetic moment, the calculation gives 0.00 μB per formula unit. As for the total energy: -29.655 eV per cell. The formation energy comes out at 0.0065 eV per atom.

The structure belongs to space group P2_1/m (No. 11); the cell edges are 5.7471, 5.7396 and 8.9516 Å and the angles 90.00°, 107.91° and 90.00°. The distinct sites, in fractional coordinates, are Tl at (0.0182, 0.2500, 0.1269), Tl at (0.3928, 0.2500, 0.8711), Hg at (0.0476, 0.2500, 0.4968), Au at (0.1648, 0.7500, 0.2386), Au at (0.4356, 0.7500, 0.7638) and Au at (0.5000, 0.0000, 0.5000).

***

6.
Entry from Alexandria: Cs2SrTaBr6 after structural relaxation (PBE).

The calculation puts the density of states at the Fermi level at 0.0 states/eV/cell. The energy relative to the elements, uncorrected comes out at -13.538 eV per formula unit. For the total magnetic moment, the calculation gives 3.00 μB per formula unit. As for the total energy: -155.268 eV per cell.

The structure belongs to space group Fm-3m (No. 225); the cell edges are 11.4072, 11.4072 and 11.4072 Å and the angles 90.00°, 90.00° and 90.00°. The distinct sites, in fractional coordinates, are Cs at (0.2500, 0.2500, 0.2500), Sr at (0.0000, 0.0000, 0.0000), Ta at (0.0000, 0.0000, 0.5000) and Br at (0.0000, 0.0000, 0.2635).

***

7.
Entry from Alexandria: MnOsRu2 after structural relaxation (PBE).

For the energy above the most stable polymorph in this dataset, the calculation gives 40.6 meV per atom. The calculation puts the density of states at the Fermi level at 4.8 states/eV/cell. For the total magnetic moment, the calculation gives 1.35 μB per formula unit. As for the total energy: -38.479 eV per cell. The formation energy comes out at 0.1181 eV per atom.

The structure belongs to space group P4/mmm (No. 123); the cell edges are 2.6851, 2.6851 and 7.4913 Å and the angles 90.00°, 90.00° and 90.00°. The distinct sites, in fractional coordinates, are Mn at (0.0000, 0.0000, 0.0000), Os at (0.0000, 0.0000, 0.5000) and Ru at (0.5000, 0.5000, 0.2422).

***

8.
Entry from Alexandria: Te3Se4 after structural relaxation (PBE).

For the energy above the most stable polymorph in this dataset, the calculation gives 0.0 meV per atom. The calculation puts the density of states at the Fermi level at 8.3 states/eV/cell. The energy relative to the elements, uncorrected comes out at 1.170 eV per formula unit. For the total magnetic moment, the calculation gives 0.00 μB per formula unit. As for the total energy: -44.386 eV per cell.

The structure belongs to space group I4/mmm (No. 139); the cell edges are 4.1207, 4.1207 and 22.9852 Å and the angles 90.00°, 90.00° and 90.00°. The distinct sites, in fractional coordinates, are Te at (0.0000, 0.0000, 0.0000), Te at (0.0000, 0.0000, 0.3217), Se at (0.0000, 0.0000, 0.1828) and Se at (0.0000, 0.0000, 0.4388).

***

9.
Entry from Alexandria: K2CaTaO after structural relaxation (PBE).

The calculation puts the density of states at the Fermi level at 4.2 states/eV/cell. The energy relative to the elements, uncorrected comes out at 0.079 eV per formula unit. For the total magnetic moment, the calculation gives 1.37 μB per formula unit. As for the total energy: -20.928 eV per cell.

The structure belongs to space group P4/mmm (No. 123); the cell edges are 7.3792, 7.3792 and 3.8893 Å and the angles 90.00°, 90.00° and 90.00°. The distinct sites, in fractional coordinates, are K at (0.0000, 0.5000, 0.0000), Ca at (0.0000, 0.0000, 0.5000), Ta at (0.5000, 0.5000, 0.0000) and O at (0.5000, 0.5000, 0.5000).

***

10.
Entry from Alexandria: Y2RuPt after structural relaxation (PBE).

The calculation puts the density of states at the Fermi level at 1.6 states/eV/cell. For the total magnetic moment, the calculation gives 0.00 μB per formula unit. As for the total energy: -31.451 eV per cell. The formation energy comes out at -0.8015 eV per atom.

The structure belongs to space group P4/mmm (No. 123); the cell edges are 3.4805, 3.4805 and 6.7998 Å and the angles 90.00°, 90.00° and 90.00°. The distinct sites, in fractional coordinates, are Y at (0.0000, 0.0000, 0.2448), Ru at (0.5000, 0.5000, 0.0000) and Pt at (0.5000, 0.5000, 0.5000).

***

11.
Entry from Alexandria: SrLi2MgRh after structural relaxation (PBE).

The calculation puts the density of states at the Fermi level at 2.5 states/eV/cell. For the total magnetic moment, the calculation gives 0.00 μB per formula unit. As for the total energy: -14.765 eV per cell. The formation energy comes out at -0.0620 eV per atom.

The structure belongs to space group P4/mmm (No. 123); the cell edges are 4.9248, 4.9248 and 5.0004 Å and the angles 90.00°, 90.00° and 90.00°. The distinct sites, in fractional coordinates, are Sr at (0.0000, 0.0000, 0.0000), Li at (0.0000, 0.5000, 0.5000), Mg at (0.5000, 0.5000, 0.0000) and Rh at (0.5000, 0.5000, 0.5000).

***

12.
Entry from Alexandria: LiNd8Au2 after structural relaxation (PBE).

The calculation puts the density of states at the Fermi level at 24.0 states/eV/cell. For the total magnetic moment, the calculation gives 0.00 μB per formula unit. As for the total energy: -98.675 eV per cell. The formation energy comes out at -0.2478 eV per atom.

The structure belongs to space group C2/m (No. 12); the cell edges are 18.6568, 5.2673 and 7.1545 Å and the angles 90.00°, 106.82° and 90.00°. The distinct sites, in fractional coordinates, are Li at (0.0000, 0.0000, 0.0000), Nd at (0.0267, 0.5000, 0.7682), Nd at (0.0910, 0.0000, 0.4719), Nd at (0.1701, 0.0000, 0.9823), Nd at (0.1955, 0.5000, 0.3270) and Au at (0.1811, 0.5000, 0.7322).